Entry from Alexandria: crystalline BaB3Pb at its relaxed geometry (PBE).

* symmetry: Pm-3m, No. 221
* energy of formation: 8.74 eV/f.u.
* crystal system: cubic
* Fermi-level density of states: 3.7 states/eV/cell

Cell: 4.834 4.834 4.834 Å, 90.00 90.00 90.00°
Fractional positions:
B1 0.000 0.000 0.500
B2 0.500 0.000 0.000
B3 0.000 0.500 0.000
Ba1 0.500 0.500 0.500
Pb1 0.000 0.000 0.000

Entry from Alexandria: crystalline Ba3BPb at its relaxed geometry (PBE).

* symmetry: Pm-3m, No. 221
* energy of formation: 0.81 eV/f.u.
* crystal system: cubic
* Fermi-level density of states: 9.2 states/eV/cell

Cell: 5.840 5.840 5.840 Å, 90.00 90.00 90.00°
Fractional positions:
Pb1 0.500 0.500 0.500
B1 0.000 0.000 0.000
Ba1 0.000 0.500 0.000
Ba2 0.000 0.000 0.500
Ba3 0.500 0.000 0.000

Fermi-level density of states of number 2 (Ba3BPb)?
9.2 states/eV/cell

What is the energy of formation in the second record?
0.81 eV/f.u.